1.
A relaxed BaNdCo2O5 crystal, computed with PBE+U.

abc: 3.871 4.013 7.585
angles: 90.00 90.00 90.00
Positions (direct):
Ba1 0.000 0.000 0.000
Nd1 0.000 0.000 0.500
Co1 0.500 0.500 0.254
Co2 0.500 0.500 0.746
O1 0.000 0.500 0.308
O2 0.000 0.500 0.692
O3 0.500 0.000 0.300
O4 0.500 0.000 0.700
O5 0.500 0.500 0.000

Total energy ... -6.626 eV/atom
Size of the total moment ... 6.419 μB per formula unit
Symmetry ... Pmmm



2.
A relaxed CoTePbO crystal, computed with PBE+U.

abc: 3.611 3.611 12.760
angles: 90.00 90.00 90.00
Positions (direct):
Co1 0.250 0.750 0.000
Co2 0.750 0.250 0.000
Te1 0.250 0.250 0.147
Te2 0.750 0.750 0.853
Pb1 0.250 0.250 0.606
Pb2 0.750 0.750 0.394
O1 0.250 0.250 0.431
O2 0.750 0.750 0.569

Total energy ... -4.646 eV/atom
Excess energy over the best structure of this formula in the dataset ... 139 meV per atom
Size of the total moment ... 1.915 μB per formula unit
Symmetry ... P4/nmm



Number 1: calculated volume 13.09 Å³ per atom. Number 2: calculated volume 20.80 Å³ per atom.